Computed, not measured: a relaxed structure of Dy3Er8In at the PBE level of DFT.

**Energy**: -3.88 eV per atom
**ΔH_f (0 K)**: 0.5358 eV per atom

abc: 8.5552 8.5552 11.1951
angles: 90.00 90.00 90.00
With the nearest neighbours (Å) after each atom.
Space group I-42m (No. 121)
Inequivalent atoms, fractional coordinates:
Dy 0.0000 0.0000 0.0000 x2  8 Er 3.00-3.14
Dy 0.0000 0.5000 0.2500 x4  4 Er 3.37
Er 0.1265 0.1265 0.7554 x8  3 Er 3.06-3.27, 3 Dy 3.14-3.37, 1 In 3.24
Er 0.2473 0.2473 0.0169 x8  1 Dy 3.00, 1 In 3.06, 2 Er 3.08-3.27
In 0.0000 0.0000 0.5000 x2  8 Er 3.06-3.24

=====

Computed, not measured: a relaxed structure of NbTcI2N at the PBE level of DFT.

**Energy**: -5.57 eV per atom
**Uncorrected formation energy**: 4.02 eV per formula unit

abc: 5.5325 5.5325 3.7368
angles: 90.00 90.00 90.00
With the nearest neighbours (Å) after each atom.
Space group P4/mmm (No. 123)
Inequivalent atoms, fractional coordinates:
Nb 0.0000 0.0000 0.0000 x1  8 I 3.34, 2 Nb 3.74
Tc 0.5000 0.5000 0.5000 x1  2 N 1.87
I 0.0000 0.5000 0.5000 x2  2 Tc 2.77
N 0.5000 0.5000 0.0000 x1  2 Tc 1.87